No. 1
VASP calculation (SCAN) on NbO at its PBEsol-relaxed geometry.

Properties
formation energy (no corrections) = -4.25 eV/f.u.
calculated density = 7.22 g/cm3
total magnetic moment = 0.00 μB/atom

Cell: 4.2203 4.2203 4.2203 Å, 90.00 90.00 90.00°
Sites, in units of the cell vectors:
Nb1 0.5000 0.0000 0.5000
Nb2 0.5000 0.5000 0.0000
Nb3 0.0000 0.5000 0.5000
O1 0.0000 0.5000 0.0000
O2 0.0000 0.0000 0.5000
O3 0.5000 0.0000 0.0000



No. 2
VASP calculation (SCAN) on Nb2O3 at its PBEsol-relaxed geometry.

Properties
formation energy (no corrections) = -11.70 eV/f.u.
calculated density = 6.73 g/cm3
total magnetic moment = 0.00 μB/atom

Cell: 2.8402 6.0202 7.4990 Å, 111.53 90.00 103.64°
Sites, in units of the cell vectors:
Nb1 0.1626 0.3251 0.8456
Nb2 0.8374 0.6749 0.1544
Nb3 0.3398 0.6796 0.6425
Nb4 0.6602 0.3204 0.3575
O1 0.1373 0.2745 0.5530
O2 0.8627 0.7255 0.4470
O3 0.1901 0.3802 0.1534
O4 0.8099 0.6198 0.8466
O5 0.4744 0.9488 0.2039
O6 0.5256 0.0512 0.7961



No. 3
VASP calculation (SCAN) on Nb12O29 at its PBEsol-relaxed geometry.

Properties
formation energy (no corrections) = -111.52 eV/f.u.
calculated density = 4.47 g/cm3
total magnetic moment = 0.03 μB/atom

Cell: 3.8465 10.6380 15.2917 Å, 72.77 82.77 79.58°
Each line ends with the local moment (μB).
Sites, in units of the cell vectors:
Nb1 0.9329 0.5340 0.6002  0.04
Nb2 0.3022 0.7971 0.5985  0.07
Nb3 0.1195 0.1650 0.5961  0.16
Nb4 0.8551 0.4197 0.8700  0.11
Nb5 0.2237 0.6856 0.8669  0.11
Nb6 0.0391 0.0532 0.8686  0.16
Nb7 0.0671 0.4660 0.3998  0.04
Nb8 0.6978 0.2029 0.4015  0.07
Nb9 0.8805 0.8350 0.4039  0.16
Nb10 0.1449 0.5803 0.1300  0.11
Nb11 0.7763 0.3144 0.1331  0.11
Nb12 0.9609 0.9468 0.1314  0.16
O1 0.0000 0.0000 0.0000  -0.02
O2 0.8347 0.7592 0.5714  0.00
O3 0.6331 0.1773 0.5564  -0.01
O4 0.4133 0.5877 0.5857  0.00
O5 0.2185 0.9801 0.5830  -0.01
O6 0.0313 0.3761 0.5613  0.00
O7 0.9000 0.4763 0.7238  -0.01
O8 0.2706 0.7361 0.7227  -0.01
O9 0.0772 0.1278 0.7179  -0.01
O10 0.9441 0.2458 0.8660  -0.01
O11 0.7515 0.6386 0.8584  0.00
O12 0.5456 0.0583 0.8506  -0.01
O13 0.3332 0.4733 0.8602  -0.01
O14 0.1377 0.8639 0.8606  -0.01
O15 0.8106 0.3777 0.0012  -0.01
O16 0.1653 0.2408 0.4286  0.00
O17 0.3669 0.8227 0.4436  -0.01
O18 0.5867 0.4123 0.4143  0.00
O19 0.7815 0.0199 0.4170  -0.01
O20 0.9687 0.6239 0.4387  0.00
O21 0.1000 0.5237 0.2762  -0.01
O22 0.7294 0.2639 0.2773  -0.01
O23 0.9228 0.8722 0.2821  -0.01
O24 0.0559 0.7542 0.1340  -0.01
O25 0.2485 0.3614 0.1416  0.00
O26 0.4544 0.9417 0.1494  -0.01
O27 0.6668 0.5267 0.1398  -0.01
O28 0.8623 0.1361 0.1394  -0.01
O29 0.1894 0.6223 0.9988  -0.01



No. 4
VASP calculation (SCAN) on NbOs3O at its PBEsol-relaxed geometry.

Properties
formation energy (no corrections) = 15.06 eV/f.u.
calculated density = 10.61 g/cm3
total magnetic moment = 0.83 μB/atom

Cell: 4.7376 4.7376 4.7376 Å, 90.00 90.00 90.00°
Each line ends with the local moment (μB).
Sites, in units of the cell vectors:
Nb1 0.0000 0.0000 0.0000  -0.08
Os1 0.0000 0.5000 0.0000  0.80
Os2 0.0000 0.0000 0.5000  0.80
Os3 0.5000 0.0000 0.0000  0.80
O1 0.5000 0.5000 0.5000  1.35



No. 5
VASP calculation (SCAN) on NbP2OsO at its PBEsol-relaxed geometry.

Properties
formation energy (no corrections) = 1.14 eV/f.u.
calculated density = 7.48 g/cm3
total magnetic moment = 0.34 μB/atom

Cell: 3.5891 4.7271 4.7271 Å, 90.00 90.00 90.00°
Each line ends with the local moment (μB).
Sites, in units of the cell vectors:
P1 0.0000 0.0000 0.5000  -0.06
P2 0.0000 0.5000 0.0000  -0.06
Nb1 0.5000 0.5000 0.5000  1.37
Os1 0.0000 0.0000 0.0000  0.13
O1 0.5000 0.0000 0.0000  0.04



No. 6
VASP calculation (SCAN) on Nb2P3O12 at its PBEsol-relaxed geometry.

Properties
formation energy (no corrections) = -43.92 eV/f.u.
calculated density = 3.12 g/cm3
total magnetic moment = 0.06 μB/atom

Cell: 8.7809 8.7809 9.0521 Å, 60.99 60.99 60.00°
Each line ends with the local moment (μB).
Sites, in units of the cell vectors:
Nb1 0.8580 0.8580 0.4260  0.42
Nb2 0.6420 0.6420 0.0740  0.42
Nb3 0.1420 0.1420 0.5740  0.42
Nb4 0.3580 0.3580 0.9260  0.42
P1 0.7500 0.4681 0.7500  0.01
P2 0.0319 0.7500 0.7500  0.01
P3 0.4681 0.0319 0.7500  0.01
P4 0.2500 0.5319 0.2500  0.01
P5 0.9681 0.2500 0.2500  0.01
P6 0.5319 0.9681 0.2500  0.01
O1 0.0783 0.7053 0.2779  0.00
O2 0.9385 0.0783 0.2779  0.00
O3 0.7053 0.9385 0.2779  0.00
O4 0.4217 0.5615 0.2221  0.00
O5 0.7947 0.4217 0.2221  0.00
O6 0.5615 0.7947 0.2221  0.00
O7 0.9217 0.2947 0.7221  0.00
O8 0.0615 0.9217 0.7221  0.00
O9 0.2947 0.0615 0.7221  0.00
O10 0.5783 0.4385 0.7779  0.00
O11 0.5040 0.1382 0.0846  -0.01
O12 0.1382 0.2733 0.0846  -0.01
O13 0.2733 0.5040 0.0846  -0.01
O14 0.3618 0.9960 0.4154  -0.01
O15 0.9960 0.2267 0.4154  -0.01
O16 0.2267 0.3618 0.4154  -0.01
O17 0.4960 0.8618 0.9154  -0.01
O18 0.8618 0.7267 0.9154  -0.01
O19 0.7267 0.4960 0.9154  -0.01
O20 0.6382 0.0040 0.5846  -0.01
O21 0.0040 0.7733 0.5846  -0.01
O22 0.7733 0.6382 0.5846  -0.01
O23 0.4385 0.2053 0.7779  0.00
O24 0.2053 0.5783 0.7779  0.00



No. 7
VASP calculation (SCAN) on Nb18P3O50 at its PBEsol-relaxed geometry.

Properties
formation energy (no corrections) = -187.20 eV/f.u.
calculated density = 4.33 g/cm3
total magnetic moment = 0.00 μB/atom

Cell: 7.6652 11.5426 11.5342 Å, 87.88 79.16 78.66°
Each line ends with the local moment (μB).
Sites, in units of the cell vectors:
Nb1 0.3920 0.3172 0.1261  0.06
Nb2 0.8974 0.3199 0.1181  -0.07
Nb3 0.3411 0.1873 0.4398  0.03
Nb4 0.8311 0.2037 0.4413  -0.04
Nb5 0.0611 0.5600 0.2049  -0.03
Nb6 0.5686 0.5575 0.1870  0.03
Nb7 0.0373 0.1242 0.6819  -0.06
Nb8 0.5422 0.1178 0.6799  0.07
Nb9 0.5090 0.0001 0.0006  0.17
Nb10 0.0091 0.9996 0.0002  -0.16
Nb11 0.4528 0.8726 0.3171  0.07
Nb12 0.9478 0.8851 0.3218  -0.07
Nb13 0.4416 0.4351 0.8101  0.02
Nb14 0.9458 0.4429 0.8012  -0.04
Nb15 0.1554 0.8076 0.5636  -0.01
Nb16 0.6598 0.8011 0.5556  0.04
Nb17 0.1097 0.6781 0.8861  -0.05
Nb18 0.6131 0.6823 0.8732  0.07
P1 0.6167 0.5104 0.5349  0.00
P2 0.1264 0.4651 0.5056  0.00
P3 0.3725 0.5359 0.4591  0.00
O1 0.4357 0.1630 0.0726  -0.01
O2 0.9441 0.1654 0.0674  0.01
O3 0.4015 0.0335 0.3814  -0.01
O4 0.8692 0.0418 0.3893  0.01
O5 0.1278 0.3622 0.1488  0.00
O6 0.6316 0.3650 0.1364  0.00
O7 0.3722 0.2638 0.2956  0.00
O8 0.8636 0.2644 0.2916  0.01
O9 0.0619 0.6145 0.0430  0.00
O10 0.5992 0.6128 0.0329  0.00
O11 0.0680 0.1767 0.4843  0.00
O12 0.5670 0.1936 0.4942  0.00
O13 0.3214 0.5146 0.1676  0.00
O14 0.8247 0.5058 0.2008  0.00
O15 0.2995 0.1288 0.6340  0.00
O16 0.7922 0.1507 0.6379  0.00
O17 0.0619 0.4890 0.3874  0.00
O18 0.4710 0.4782 0.3408  0.00
O19 0.0201 0.0702 0.8349  0.01
O20 0.5195 0.0683 0.8348  -0.01
O21 0.2174 0.3383 0.5276  0.00
O22 0.7374 0.3896 0.5049  0.00
O23 0.0168 0.7086 0.2665  0.00
O24 0.5161 0.7036 0.2608  0.00
O25 0.2541 0.9948 0.9977  0.00
O26 0.7525 0.0012 0.9968  0.00
O27 0.9875 0.2943 0.7343  0.01
O28 0.4752 0.2932 0.7343  0.00
O29 0.2810 0.6657 0.4561  0.00
O30 0.6942 0.6201 0.4913  0.00
O31 0.4802 0.9280 0.1640  -0.01
O32 0.9709 0.9339 0.1662  0.01
O33 0.5209 0.5248 0.6637  0.00
O34 0.9964 0.5129 0.6187  0.00
O35 0.1916 0.8712 0.3613  0.00
O36 0.6970 0.8509 0.3648  0.00
O37 0.6882 0.4849 0.8258  0.00
O38 0.1855 0.4928 0.8109  0.00
O39 0.4170 0.8300 0.5161  0.00
O40 0.9255 0.8009 0.5066  0.00
O41 0.4295 0.3776 0.9650  0.00
O42 0.9416 0.3868 0.9608  0.01
O43 0.1466 0.7313 0.7054  0.00
O44 0.6340 0.7349 0.7054  -0.01
O45 0.3751 0.6354 0.8711  0.00
O46 0.8818 0.6359 0.8500  0.00
O47 0.0819 0.9642 0.6161  0.00
O48 0.6204 0.9600 0.6125  -0.01
O49 0.0595 0.8344 0.9315  0.01
O50 0.5668 0.8340 0.9302  -0.01



No. 8
VASP calculation (SCAN) on Nb5P7O30 at its PBEsol-relaxed geometry.

Properties
formation energy (no corrections) = -108.65 eV/f.u.
calculated density = 3.26 g/cm3
total magnetic moment = 0.00 μB/atom

Cell: 8.8158 8.8798 15.7320 Å, 91.65 106.27 90.00°
Sites, in units of the cell vectors:
Nb1 0.3012 0.0393 0.0956
Nb2 0.6990 0.9608 0.9047
Nb3 0.2057 0.4608 0.9047
Nb4 0.5943 0.4422 0.6739
Nb5 0.9206 0.0579 0.3264
Nb6 0.0796 0.9422 0.6739
Nb7 0.7944 0.5393 0.0956
Nb8 0.0001 0.5000 0.5002
Nb9 0.5001 0.0000 0.5002
Nb10 0.4059 0.5579 0.3264
P1 0.9621 0.5925 0.7119
P2 0.7250 0.7719 0.4054
P3 0.6690 0.8954 0.1194
P4 0.2752 0.2281 0.5949
P5 0.3311 0.1046 0.8809
P6 0.0284 0.7501 0.0001
P7 0.9718 0.2500 0.0002
P8 0.7497 0.0926 0.7119
P9 0.3198 0.7281 0.5949
P10 0.4504 0.3955 0.1194
P11 0.6804 0.2719 0.4054
P12 0.0380 0.4075 0.2884
P13 0.2505 0.9075 0.2884
P14 0.5498 0.6046 0.8809
O1 0.9234 0.0700 0.7174
O2 0.3132 0.0704 0.9737
O3 0.9265 0.5041 0.2154
O4 0.2936 0.2754 0.8662
O5 0.9616 0.6690 0.0671
O6 0.1551 0.3431 0.5435
O7 0.4003 0.3134 0.6676
O8 0.8441 0.1366 0.9497
O9 0.4904 0.9137 0.1141
O10 0.0416 0.0963 0.4323
O11 0.3575 0.9678 0.3782
O12 0.6458 0.8506 0.4706
O13 0.0737 0.4960 0.7849
O14 0.2292 0.0041 0.8106
O15 0.1561 0.8635 0.0506
O16 0.2892 0.0040 0.2155
O17 0.5999 0.6867 0.3327
O18 0.9884 0.2430 0.2700
O19 0.7710 0.9960 0.1897
O20 0.9795 0.5322 0.6221
O21 0.5727 0.7754 0.8663
O22 0.2064 0.4299 0.2831
O23 0.3908 0.5963 0.4323
O24 0.3544 0.1495 0.5298
O25 0.3886 0.8430 0.5435
O26 0.8450 0.6570 0.4568
O27 0.6601 0.5702 0.9738
O28 0.4185 0.4960 0.1896
O29 0.7938 0.5701 0.7172
O30 0.2673 0.8135 0.6676
O31 0.5816 0.5041 0.8107
O32 0.7066 0.7247 0.1341
O33 0.6094 0.4038 0.5680
O34 0.8090 0.8822 0.3616
O35 0.7186 0.2571 0.7303
O36 0.6116 0.1571 0.4568
O37 0.7109 0.9961 0.7848
O38 0.8949 0.8313 0.9331
O39 0.7329 0.1865 0.3327
O40 0.1753 0.6496 0.5297
O41 0.3763 0.5864 0.8860
O42 0.6238 0.4137 0.1143
O43 0.8946 0.3636 0.0506
O44 0.1052 0.1688 0.0672
O45 0.0206 0.4679 0.3782
O46 0.5097 0.0863 0.8862
O47 0.6427 0.0323 0.6221
O48 0.0118 0.7570 0.7303
O49 0.5528 0.3823 0.3615
O50 0.1912 0.1178 0.6387
O51 0.8249 0.3505 0.4706
O52 0.2816 0.7429 0.2700
O53 0.4275 0.2247 0.1340
O54 0.4473 0.6177 0.6388
O55 0.9585 0.9038 0.5681
O56 0.1055 0.6365 0.9497
O57 0.6869 0.9297 0.0266
O58 0.0386 0.3311 0.9333
O59 0.3401 0.4298 0.0266
O60 0.0768 0.9300 0.2830